# 1
CsRb2SnPd after structural relaxation. Source: Alexandria via LeMat-Bulk, functional PBE.

abc: 6.630 6.630 5.273
angles: 90.00 90.00 90.00
Atoms (fractional coordinates):
Cs: 0.500 0.500 0.500
Rb: 0.000 0.500 0.000
Rb: 0.500 0.000 0.000
Sn: 0.000 0.000 0.500
Pd: 0.000 0.000 0.000

Computed properties:
Formation enthalpy at 0 K: -0.4 eV per formula unit
M_tot: 0.14 μB/f.u.

# 2
Mg2FeRu2 after structural relaxation. Source: Alexandria via LeMat-Bulk, functional PBE.

abc: 6.111 6.111 4.359
angles: 90.00 90.00 90.00
Atoms (fractional coordinates):
Ru: 0.362 0.862 0.000
Ru: 0.862 0.638 0.000
Ru: 0.638 0.138 0.000
Ru: 0.138 0.362 0.000
Mg: 0.173 0.673 0.500
Mg: 0.673 0.827 0.500
Mg: 0.827 0.327 0.500
Mg: 0.327 0.173 0.500
Fe: 0.000 0.000 0.000
Fe: 0.500 0.500 0.000

Computed properties:
Energy above the most stable polymorph in this dataset: 0.00 eV per formula unit
Formation enthalpy at 0 K: 1.4 eV per formula unit
M_tot: 0.00 μB/f.u.

# 3
Nd4DyY8 after structural relaxation. Source: Alexandria via LeMat-Bulk, functional PBE.

abc: 11.103 11.103 7.847
angles: 90.00 135.03 120.00
Site moments in Bohr magnetons follow the coordinates.
Atoms (fractional coordinates):
Nd: 0.000 0.000 0.000  -0.08
Nd: 0.000 0.500 0.000  0.20
Nd: 0.500 0.500 0.000  0.20
Nd: 0.500 0.000 0.000  0.20
Dy: 0.000 0.500 0.500  0.09
Y: 0.519 0.760 0.279  0.07
Y: 0.481 0.240 0.721  0.07
Y: 0.481 0.241 0.240  0.07
Y: 0.000 0.241 0.760  0.07
Y: 0.519 0.759 0.760  0.07
Y: 0.000 0.759 0.760  0.07
Y: 0.000 0.241 0.240  0.07
Y: 0.000 0.759 0.240  0.07

Computed properties:
Formation enthalpy at 0 K: 6.6 eV per formula unit
M_tot: 1.98 μB/f.u.

# 4
KHfZr2 after structural relaxation. Source: Alexandria via LeMat-Bulk, functional PBE.

abc: 4.460 4.460 11.219
angles: 78.53 78.53 90.00
Atoms (fractional coordinates):
K: 0.500 0.500 0.000
K: 0.250 0.750 0.500
Hf: 0.000 0.000 0.000
Hf: 0.750 0.250 0.500
Zr: 0.649 0.125 0.250
Zr: 0.101 0.625 0.250
Zr: 0.375 0.351 0.750
Zr: 0.875 0.899 0.750

Computed properties:
Energy above the most stable polymorph in this dataset: 1.02 eV per formula unit
Formation enthalpy at 0 K: 5.1 eV per formula unit
M_tot: 0.00 μB/f.u.

# 5
Li2RePt after structural relaxation. Source: Alexandria via LeMat-Bulk, functional PBE.

abc: 5.119 5.119 5.119
angles: 149.02 128.52 61.30
Atoms (fractional coordinates):
Li: 0.988 0.988 0.000
Li: 0.753 0.253 0.500
Pt: 0.506 0.506 0.000
Re: 0.253 0.753 0.500

Computed properties:
Energy above the most stable polymorph in this dataset: 0.97 eV per formula unit
Formation enthalpy at 0 K: 0.5 eV per formula unit
M_tot: 0.00 μB/f.u.

# 6
Na3LiNp3Se8 after structural relaxation. Source: Alexandria via LeMat-Bulk, functional PBE.

abc: 8.219 8.219 8.409
angles: 119.25 90.00 120.00
Site moments in Bohr magnetons follow the coordinates.
Atoms (fractional coordinates):
Na: 0.000 0.000 0.000  0.00
Na: 0.000 0.500 0.000  0.00
Na: 0.500 0.500 0.000  0.00
Li: 0.000 0.000 0.500  -0.01
Np: 0.500 0.000 0.500  3.40
Np: 0.500 0.500 0.500  3.40
Np: 0.000 0.500 0.500  3.40
Se: 0.255 0.511 0.266  -0.09
Se: 0.745 0.489 0.734  -0.09
Se: 0.756 0.512 0.280  -0.14
Se: 0.244 0.488 0.720  -0.14
Se: 0.756 0.025 0.280  -0.14
Se: 0.244 0.975 0.720  -0.14
Se: 0.269 0.025 0.280  -0.14
Se: 0.731 0.975 0.720  -0.14

Computed properties:
Energy relative to the elements, uncorrected: -1.126 eV per atom
M_tot: 9.00 μB/f.u.

# 7
HfSc2Os after structural relaxation. Source: Alexandria via LeMat-Bulk, functional PBE.

abc: 7.972 7.972 6.284
angles: 50.63 50.63 90.00
Atoms (fractional coordinates):
Sc: 0.691 0.125 0.250
Sc: 0.059 0.625 0.250
Sc: 0.375 0.309 0.750
Sc: 0.875 0.941 0.750
Hf: 0.500 0.500 0.000
Hf: 0.250 0.750 0.500
Os: 0.000 0.000 0.000
Os: 0.750 0.250 0.500

Computed properties:
Energy above the most stable polymorph in this dataset: 0.61 eV per formula unit
Formation enthalpy at 0 K: 0.7 eV per formula unit
M_tot: 0.00 μB/f.u.

# 8
Os3Pd5S12 after structural relaxation. Source: Alexandria via LeMat-Bulk, functional PBE.

abc: 12.264 12.264 12.264
angles: 109.47 109.47 109.47
Atoms (fractional coordinates):
Os: 0.750 0.375 0.125
Os: 0.875 0.750 0.125
Os: 0.375 0.750 0.625
Os: 0.250 0.125 0.375
Os: 0.875 0.125 0.250
Os: 0.375 0.625 0.250
Os: 0.625 0.375 0.750
Os: 0.125 0.875 0.750
Os: 0.750 0.875 0.625
Os: 0.625 0.250 0.375
Os: 0.125 0.250 0.875
Os: 0.250 0.625 0.875
Pd: 0.125 0.375 0.250
Pd: 0.000 0.500 0.000
Pd: 0.000 0.000 0.000
Pd: 0.375 0.250 0.125
Pd: 0.500 0.000 0.500
Pd: 0.500 0.500 0.000
Pd: 0.125 0.750 0.375
Pd: 0.750 0.125 0.875
Pd: 0.750 0.625 0.375
Pd: 0.375 0.125 0.750
Pd: 0.625 0.875 0.250
Pd: 0.500 0.500 0.500
Pd: 0.500 0.000 0.000
Pd: 0.000 0.000 0.500
Pd: 0.250 0.375 0.625
Pd: 0.250 0.875 0.125
Pd: 0.000 0.500 0.500
Pd: 0.875 0.250 0.625
Pd: 0.625 0.750 0.875
Pd: 0.875 0.625 0.750
S: 0.724 0.145 0.055
S: 0.331 0.555 0.410
S: 0.945 0.355 0.276
S: 0.555 0.224 0.145
S: 0.579 0.724 0.669
S: 0.945 0.590 0.169
S: 0.331 0.776 0.421
S: 0.090 0.921 0.145
S: 0.590 0.945 0.669
S: 0.724 0.579 0.169
S: 0.776 0.445 0.355
S: 0.831 0.910 0.055
S: 0.145 0.724 0.555
S: 0.355 0.410 0.079
S: 0.079 0.910 0.355
S: 0.421 0.145 0.590
S: 0.079 0.169 0.224
S: 0.445 0.669 0.090
S: 0.831 0.921 0.276
S: 0.145 0.421 0.090
S: 0.355 0.945 0.776
S: 0.590 0.645 0.421
S: 0.910 0.831 0.555
S: 0.776 0.331 0.921
S: 0.410 0.355 0.579
S: 0.090 0.169 0.445
S: 0.224 0.669 0.079
S: 0.169 0.079 0.724
S: 0.645 0.055 0.224
S: 0.855 0.579 0.910
S: 0.555 0.331 0.910
S: 0.579 0.855 0.410
S: 0.921 0.831 0.776
S: 0.921 0.090 0.645
S: 0.855 0.276 0.445
S: 0.169 0.090 0.945
S: 0.645 0.590 0.921
S: 0.410 0.055 0.331
S: 0.276 0.421 0.831
S: 0.224 0.555 0.645
S: 0.910 0.079 0.855
S: 0.669 0.224 0.579
S: 0.445 0.776 0.855
S: 0.055 0.410 0.831
S: 0.421 0.276 0.331
S: 0.055 0.645 0.724
S: 0.669 0.445 0.590
S: 0.276 0.855 0.945

Computed properties:
Energy relative to the elements, uncorrected: 0.149 eV per atom
M_tot: 0.00 μB/f.u.

# 9
CsUCdTe3 after structural relaxation. Source: Alexandria via LeMat-Bulk, functional PBE.

abc: 4.574 10.223 11.253
angles: 111.42 90.00 90.00
Site moments in Bohr magnetons follow the coordinates.
Atoms (fractional coordinates):
Cs: 0.250 0.218 0.247  0.00
Cs: 0.750 0.782 0.753  0.00
U: 0.250 0.669 0.135  2.81
U: 0.750 0.331 0.865  2.81
Cd: 0.250 0.086 0.614  0.01
Cd: 0.750 0.914 0.386  0.01
Te: 0.750 0.882 0.127  -0.04
Te: 0.250 0.118 0.873  -0.04
Te: 0.250 0.781 0.452  -0.01
Te: 0.750 0.219 0.548  -0.01
Te: 0.750 0.472 0.159  -0.06
Te: 0.250 0.528 0.841  -0.06

Computed properties:
Energy relative to the elements, uncorrected: -0.704 eV per atom
M_tot: 3.00 μB/f.u.

# 10
Ca2CrPb after structural relaxation. Source: Alexandria via LeMat-Bulk, functional PBE.

abc: 3.856 3.856 8.083
angles: 90.00 90.00 90.00
Site moments in Bohr magnetons follow the coordinates.
Atoms (fractional coordinates):
Pb: 0.500 0.500 0.705  -0.10
Cr: 0.000 0.000 0.544  3.77
Ca: 0.000 0.000 0.951  -0.01
Ca: 0.500 0.500 0.300  0.03

Computed properties:
Formation enthalpy at 0 K: 0.6 eV per formula unit
M_tot: 4.20 μB/f.u.